# Fe2SbO5

Crystalline Fe2SbO5 at its relaxed geometry (PBE with a Hubbard U, Alexandria via LeMat-Bulk).

Calculated values
Spin magnetization = 9.000 μB/f.u.
VASP energy = -6.23 eV/atom
Calculated volume = 131 Å³/cell

a = 5.400 Å, b = 5.400 Å, c = 5.285 Å
α = 112.91°, β = 112.91°, γ = 79.88°
Atoms (fractional coordinates):
Fe 0.222 0.778 0.000
Fe 0.778 0.222 0.000
Sb 0.822 0.822 0.279
O 0.002 0.527 0.050
O 0.068 0.068 0.294
O 0.527 0.002 0.050
O 0.549 0.549 0.141
O 0.913 0.913 0.697